(1)
A plane-wave DFT calculation with PBE-GGA was carried out for crystalline Pr4HRu2 at its relaxed geometry.

The structure in POSCAR format:
```
Pr4HRu2
1.0
4.792 0.000 0.000
0.000 4.792 0.000
-2.396 -2.396 7.328
Pr H Ru
4 1 2
direct
0.806 0.806 0.613
0.500 0.000 0.000
0.000 0.500 0.000
0.194 0.194 0.387
0.000 0.000 0.000
0.625 0.625 0.250
0.375 0.375 0.750
```

Values from the calculation:
**Crystal system**: tetragonal
**Uncorrected energy**: -5.98 eV/atom
**Total moment**: 0.0 Bohr magnetons per cell


(2)
A plane-wave DFT calculation with PBE-GGA was carried out for crystalline TiCu2Pt2 at its relaxed geometry.

The structure in POSCAR format:
```
TiCu2Pt2
1.0
7.144 0.000 0.000
0.000 7.144 0.000
0.000 0.000 2.862
Cu Ti Pt
4 2 4
direct
0.120 0.380 0.000
0.620 0.120 0.000
0.380 0.880 0.000
0.880 0.620 0.000
0.500 0.500 0.000
0.000 0.000 0.000
0.677 0.823 0.500
0.823 0.323 0.500
0.323 0.177 0.500
0.177 0.677 0.500
```

Values from the calculation:
**Formation energy from the elements**: -0.306 eV/atom
**Crystal system**: tetragonal
**ΔE to the lowest computed polymorph**: 0.224 eV per atom
**Total moment**: 0.0 Bohr magnetons per cell


(3)
A plane-wave DFT calculation with PBE-GGA was carried out for crystalline LaThP2 at its relaxed geometry.

The structure in POSCAR format:
```
LaThP2
1.0
4.128 0.000 0.000
2.064 3.575 0.000
2.064 1.192 7.208
P La Th
2 1 1
direct
0.080 0.080 0.761
0.255 0.255 0.235
0.496 0.496 0.512
0.669 0.669 0.992
```

Values from the calculation:
**Formation energy from the elements**: -1.436 eV/atom
**Crystal system**: trigonal
**ΔE to the lowest computed polymorph**: 0.149 eV per atom
**Total moment**: 0.0 Bohr magnetons per cell